Here is a relaxed structure of NbInAuSe2S from OQMD via LeMat-Bulk. Energies are from PBE.

Cell: 3.6639 14.5010 9.8892 Å, 90.00 90.00 90.00°
Space group Cmcm (No. 63)
Asymmetric unit:
Nb: 0.0000 0.0000 0.0000
In: 0.0000 0.2568 0.2500
Au: 0.0000 0.4534 0.7500
Se: 0.0000 0.3643 0.5300
S: 0.0000 0.0743 0.7500

Summary:
Total DFT energy (no corrections) ... -4.87 eV per atom